1.
This record from Alexandria via LeMat-Bulk describes an optimized crystal structure of Sc2TaPdN. The functional is PBE.

Computed properties:
density of states at the Fermi level = 4.21 states/eV/f.u.
mass density = 8.1 g/cm3
volume = 16.1 A^3/atom
ΔE_f (raw) = -0.87 eV per atom
total magnetization = 0.00 μB/f.u.

abc: 4.363 4.363 4.233
angles: 90.00 90.00 90.00
Space group P4/mmm (No. 123)
One atom of each set of equivalent atoms:
Sc1 0.000 0.500 0.000 [2 per cell]
Ta1 0.000 0.000 0.500 [1 per cell]
Pd1 0.500 0.500 0.500 [1 per cell]
N1 0.000 0.000 0.000 [1 per cell]

2.
This record from Alexandria via LeMat-Bulk describes an optimized crystal structure of ScTcPdN2. The functional is PBE.

Computed properties:
density of states at the Fermi level = 3.41 states/eV/f.u.
mass density = 5.6 g/cm3
volume = 16.4 A^3/atom
ΔE_f (raw) = 0.55 eV per atom
total magnetization = 0.00 μB/f.u.

abc: 3.843 3.843 5.550
angles: 90.00 90.00 90.00
Space group P4/mmm (No. 123)
One atom of each set of equivalent atoms:
Sc1 0.000 0.000 0.000 [1 per cell]
Tc1 0.000 0.000 0.500 [1 per cell]
Pd1 0.500 0.500 0.000 [1 per cell]
N1 0.000 0.500 0.500 [2 per cell]

3.
This record from Alexandria via LeMat-Bulk describes an optimized crystal structure of ScTePdN2. The functional is PBE.

Computed properties:
density of states at the Fermi level = 3.90 states/eV/f.u.
distance to the lowest polymorph of the same formula = 158 meV per atom
mass density = 5.7 g/cm3
volume = 18.0 A^3/atom
ΔE_f (raw) = 0.90 eV per atom
total magnetization = 2.30 μB/f.u.

abc: 4.093 4.093 5.362
angles: 90.00 90.00 90.00
Space group P4/mmm (No. 123)
One atom of each set of equivalent atoms:
Sc1 0.000 0.000 0.000 [1 per cell]
Te1 0.500 0.500 0.000 [1 per cell]
Pd1 0.500 0.500 0.500 [1 per cell]
N1 0.000 0.500 0.500 [2 per cell]

4.
This record from Alexandria via LeMat-Bulk describes an optimized crystal structure of ScTePdN2. The functional is PBE.

Computed properties:
density of states at the Fermi level = 5.37 states/eV/f.u.
distance to the lowest polymorph of the same formula = 0 meV per atom
mass density = 5.0 g/cm3
volume = 20.2 A^3/atom
ΔE_f (raw) = 0.74 eV per atom
total magnetization = 2.92 μB/f.u.

abc: 4.112 4.112 5.984
angles: 90.00 90.00 90.00
Space group P4/mmm (No. 123)
One atom of each set of equivalent atoms:
Sc1 0.000 0.000 0.000 [1 per cell]
Te1 0.000 0.000 0.500 [1 per cell]
Pd1 0.500 0.500 0.500 [1 per cell]
N1 0.000 0.500 0.000 [2 per cell]

5.
This record from Alexandria via LeMat-Bulk describes an optimized crystal structure of Sc2TiPdN. The functional is PBE.

Computed properties:
density of states at the Fermi level = 5.04 states/eV/f.u.
mass density = 5.4 g/cm3
volume = 15.9 A^3/atom
ΔE_f (raw) = -1.04 eV per atom
total magnetization = 0.00 μB/f.u.

abc: 4.436 4.436 4.042
angles: 90.00 90.00 90.00
Space group P4/mmm (No. 123)
One atom of each set of equivalent atoms:
Sc1 0.000 0.500 0.000 [2 per cell]
Ti1 0.000 0.000 0.500 [1 per cell]
Pd1 0.500 0.500 0.500 [1 per cell]
N1 0.000 0.000 0.000 [1 per cell]

6.
This record from Alexandria via LeMat-Bulk describes an optimized crystal structure of ScTi2PdN. The functional is PBE.

Computed properties:
density of states at the Fermi level = 4.90 states/eV/f.u.
mass density = 5.8 g/cm3
volume = 14.9 A^3/atom
ΔE_f (raw) = -1.01 eV per atom
total magnetization = 0.00 μB/f.u.

abc: 4.118 4.118 4.378
angles: 90.00 90.00 90.00
Space group P4/mmm (No. 123)
One atom of each set of equivalent atoms:
Sc1 0.000 0.000 0.000 [1 per cell]
Ti1 0.000 0.500 0.500 [2 per cell]
Pd1 0.500 0.500 0.000 [1 per cell]
N1 0.000 0.000 0.500 [1 per cell]

7.
This record from Alexandria via LeMat-Bulk describes an optimized crystal structure of TmSc2PdN. The functional is PBE.

Computed properties:
density of states at the Fermi level = 3.65 states/eV/f.u.
mass density = 7.0 g/cm3
volume = 18.0 A^3/atom
ΔE_f (raw) = -1.08 eV per atom
total magnetization = 0.00 μB/f.u.

abc: 4.326 4.326 4.817
angles: 90.00 90.00 90.00
Space group P4/mmm (No. 123)
One atom of each set of equivalent atoms:
Tm1 0.000 0.000 0.000 [1 per cell]
Sc1 0.000 0.500 0.500 [2 per cell]
Pd1 0.500 0.500 0.000 [1 per cell]
N1 0.000 0.000 0.500 [1 per cell]

8.
This record from Alexandria via LeMat-Bulk describes an optimized crystal structure of YSc2PdN. The functional is PBE.

Computed properties:
density of states at the Fermi level = 4.02 states/eV/f.u.
mass density = 5.4 g/cm3
volume = 18.5 A^3/atom
ΔE_f (raw) = -1.05 eV per atom
total magnetization = 0.00 μB/f.u.

abc: 4.338 4.338 4.903
angles: 90.00 90.00 90.00
Space group P4/mmm (No. 123)
One atom of each set of equivalent atoms:
Y1 0.000 0.000 0.000 [1 per cell]
Sc1 0.000 0.500 0.500 [2 per cell]
Pd1 0.500 0.500 0.000 [1 per cell]
N1 0.000 0.000 0.500 [1 per cell]

9.
This record from Alexandria via LeMat-Bulk describes an optimized crystal structure of ZrSc2PdN. The functional is PBE.

Computed properties:
density of states at the Fermi level = 5.56 states/eV/f.u.
mass density = 5.9 g/cm3
volume = 17.1 A^3/atom
ΔE_f (raw) = -1.02 eV per atom
total magnetization = 0.00 μB/f.u.

abc: 4.351 4.351 4.515
angles: 90.00 90.00 90.00
Space group P4/mmm (No. 123)
One atom of each set of equivalent atoms:
Zr1 0.000 0.000 0.000 [1 per cell]
Sc1 0.000 0.500 0.500 [2 per cell]
Pd1 0.500 0.500 0.000 [1 per cell]
N1 0.000 0.000 0.500 [1 per cell]

10.
This record from Alexandria via LeMat-Bulk describes an optimized crystal structure of PdSe3N. The functional is PBE.

Computed properties:
density of states at the Fermi level = 6.11 states/eV/f.u.
distance to the lowest polymorph of the same formula = 512 meV per atom
mass density = 4.8 g/cm3
volume = 24.9 A^3/atom
ΔE_f (raw) = 1.48 eV per atom
total magnetization = 1.35 μB/f.u.

abc: 4.991 4.991 4.991
angles: 90.00 90.00 90.00
Space group Pm-3m (No. 221)
One atom of each set of equivalent atoms:
Pd1 0.000 0.000 0.000 [1 per cell]
Se1 0.000 0.000 0.500 [3 per cell]
N1 0.500 0.500 0.500 [1 per cell]

11.
This record from Alexandria via LeMat-Bulk describes an optimized crystal structure of PdSeN. The functional is PBE.

Computed properties:
density of states at the Fermi level = 1.39 states/eV/f.u.
distance to the lowest polymorph of the same formula = 206 meV per atom
mass density = 6.6 g/cm3
volume = 16.7 A^3/atom
ΔE_f (raw) = 0.14 eV per atom
total magnetization = 0.00 μB/f.u.

abc: 12.353 3.445 5.061
angles: 90.00 111.55 90.00
Space group C2/m (No. 12)
One atom of each set of equivalent atoms:
Pd1 0.102 0.000 0.405 [4 per cell]
Se1 0.217 0.500 0.761 [4 per cell]
N1 0.024 0.500 0.124 [4 per cell]

12.
This record from Alexandria via LeMat-Bulk describes an optimized crystal structure of PdSe2N2. The functional is PBE.

Computed properties:
density of states at the Fermi level = 4.84 states/eV/f.u.
distance to the lowest polymorph of the same formula = 1932 meV per atom
mass density = 4.9 g/cm3
volume = 20.0 A^3/atom
ΔE_f (raw) = 1.89 eV per atom
total magnetization = 1.58 μB/f.u.

abc: 5.228 5.228 3.661
angles: 90.00 90.00 90.00
Space group P4/mmm (No. 123)
One atom of each set of equivalent atoms:
Pd1 0.000 0.000 0.000 [1 per cell]
Se1 0.000 0.500 0.000 [2 per cell]
N1 0.000 0.000 0.500 [1 per cell]
N2 0.500 0.500 0.500 [1 per cell]

13.
This record from Alexandria via LeMat-Bulk describes an optimized crystal structure of PdSe2N2. The functional is PBE.

Computed properties:
density of states at the Fermi level = 1.26 states/eV/f.u.
distance to the lowest polymorph of the same formula = 0 meV per atom
mass density = 3.4 g/cm3
volume = 28.5 A^3/atom
ΔE_f (raw) = -0.04 eV per atom
total magnetization = 0.00 μB/f.u.

abc: 5.976 4.713 10.341
angles: 90.00 102.28 90.00
Space group C2/m (No. 12)
One atom of each set of equivalent atoms:
Pd1 0.000 0.000 0.000 [2 per cell]
Se1 0.150 0.500 0.101 [4 per cell]
N1 0.010 0.000 0.555 [4 per cell]

14.
This record from Alexandria via LeMat-Bulk describes an optimized crystal structure of Pd3SeN. The functional is PBE.

Computed properties:
density of states at the Fermi level = 3.13 states/eV/f.u.
distance to the lowest polymorph of the same formula = 962 meV per atom
mass density = 6.5 g/cm3
volume = 20.9 A^3/atom
ΔE_f (raw) = 1.27 eV per atom
total magnetization = 1.94 μB/f.u.

abc: 4.714 4.714 4.714
angles: 90.00 90.00 90.00
Space group Pm-3m (No. 221)
One atom of each set of equivalent atoms:
Pd1 0.000 0.000 0.500 [3 per cell]
Se1 0.000 0.000 0.000 [1 per cell]
N1 0.500 0.500 0.500 [1 per cell]

15.
This record from Alexandria via LeMat-Bulk describes an optimized crystal structure of PdSe2N2. The functional is PBE.

Computed properties:
density of states at the Fermi level = 4.92 states/eV/f.u.
distance to the lowest polymorph of the same formula = 1525 meV per atom
mass density = 5.2 g/cm3
volume = 18.8 A^3/atom
ΔE_f (raw) = 1.49 eV per atom
total magnetization = 0.00 μB/f.u.

abc: 3.653 3.653 7.026
angles: 90.00 90.00 90.00
Space group P4/mmm (No. 123)
One atom of each set of equivalent atoms:
Pd1 0.000 0.000 0.000 [1 per cell]
Se1 0.500 0.500 0.000 [1 per cell]
Se2 0.500 0.500 0.500 [1 per cell]
N1 0.000 0.500 0.500 [2 per cell]

16.
This record from Alexandria via LeMat-Bulk describes an optimized crystal structure of Pd3SeN. The functional is PBE.

Computed properties:
density of states at the Fermi level = 3.01 states/eV/f.u.
distance to the lowest polymorph of the same formula = 0 meV per atom
mass density = 9.2 g/cm3
volume = 14.9 A^3/atom
ΔE_f (raw) = 0.30 eV per atom
total magnetization = 0.00 μB/f.u.

abc: 4.211 4.211 4.211
angles: 90.00 90.00 90.00
Space group Pm-3m (No. 221)
One atom of each set of equivalent atoms:
Pd1 0.000 0.000 0.500 [3 per cell]
Se1 0.500 0.500 0.500 [1 per cell]
N1 0.000 0.000 0.000 [1 per cell]

17.
This record from Alexandria via LeMat-Bulk describes an optimized crystal structure of PdSe3N. The functional is PBE.

Computed properties:
density of states at the Fermi level = 6.79 states/eV/f.u.
distance to the lowest polymorph of the same formula = 0 meV per atom
mass density = 7.0 g/cm3
volume = 16.9 A^3/atom
ΔE_f (raw) = 0.96 eV per atom
total magnetization = 0.00 μB/f.u.

abc: 4.386 4.386 4.386
angles: 90.00 90.00 90.00
Space group Pm-3m (No. 221)
One atom of each set of equivalent atoms:
Pd1 0.000 0.000 0.000 [1 per cell]
Se1 0.000 0.500 0.500 [3 per cell]
N1 0.500 0.500 0.500 [1 per cell]

18.
This record from Alexandria via LeMat-Bulk describes an optimized crystal structure of PdSeN. The functional is PBE.

Computed properties:
density of states at the Fermi level = 1.42 states/eV/f.u.
distance to the lowest polymorph of the same formula = 0 meV per atom
mass density = 3.8 g/cm3
volume = 28.8 A^3/atom
ΔE_f (raw) = -0.07 eV per atom
total magnetization = 0.00 μB/f.u.

abc: 4.377 4.392 9.247
angles: 80.76 83.14 82.50
Space group P-1 (No. 2)
One atom of each set of equivalent atoms:
Pd1 0.214 0.214 0.002 [2 per cell]
Se1 0.263 0.670 0.130 [2 per cell]
N1 0.418 0.091 0.524 [2 per cell]

19.
This record from Alexandria via LeMat-Bulk describes an optimized crystal structure of PdSe2N2. The functional is PBE.

Computed properties:
density of states at the Fermi level = 4.45 states/eV/f.u.
distance to the lowest polymorph of the same formula = 1449 meV per atom
mass density = 4.2 g/cm3
volume = 23.1 A^3/atom
ΔE_f (raw) = 1.41 eV per atom
total magnetization = 1.35 μB/f.u.

abc: 3.787 3.787 8.038
angles: 90.00 90.00 90.00
Space group P4/mmm (No. 123)
One atom of each set of equivalent atoms:
Pd1 0.000 0.000 0.000 [1 per cell]
Se1 0.000 0.000 0.500 [1 per cell]
Se2 0.500 0.500 0.500 [1 per cell]
N1 0.000 0.500 0.000 [2 per cell]

20.
This record from Alexandria via LeMat-Bulk describes an optimized crystal structure of SiPdSe2N. The functional is PBE.

Computed properties:
density of states at the Fermi level = 1.93 states/eV/f.u.
distance to the lowest polymorph of the same formula = 0 meV per atom
mass density = 6.1 g/cm3
volume = 16.8 A^3/atom
ΔE_f (raw) = 0.27 eV per atom
total magnetization = 0.00 μB/f.u.

abc: 5.114 5.114 3.211
angles: 90.00 90.00 90.00
Space group P4/mmm (No. 123)
One atom of each set of equivalent atoms:
Si1 0.000 0.000 0.000 [1 per cell]
Pd1 0.500 0.500 0.500 [1 per cell]
Se1 0.000 0.500 0.000 [2 per cell]
N1 0.000 0.000 0.500 [1 per cell]